Below is a relaxed structure of Dy2ScCu4Ge4, with properties calculated at the GGA-PBE level.

Geometry as CIF:
```
data_Dy2ScCu4Ge4
_cell_length_a 4.177
_cell_length_b 6.549
_cell_length_c 13.828
_cell_angle_alpha 90.00
_cell_angle_beta 90.00
_cell_angle_gamma 90.00
_space_group_name_H-M_alt 'I m m m'
_space_group_IT_number 71
_space_group_name_Hall '-I 2 2'
loop_
_atom_site_label
_atom_site_type_symbol
_atom_site_fract_x
_atom_site_fract_y
_atom_site_fract_z
Dy1 Dy 0.000 0.000 0.130
Sc1 Sc 0.000 0.500 0.000
Cu1 Cu 0.000 0.190 0.331
Ge1 Ge 0.000 0.301 0.500
Ge2 Ge 0.000 0.500 0.214
```

Values from the calculation:
E	-5.047	eV/atom
M_tot	0.01	μB per cell